VASP calculation (PBE) on a relaxed CrTeRh crystal.

a b c (Å): 4.8189 4.8189 4.8189
angles (deg): 53.10 53.10 53.10
Closest atoms and distances in Å follow each position.
Fractional positions:
Cr (0.0000, 0.0000, 0.0000)  3 Rh 2.55, 1 Te 2.64
Te (0.7867, 0.7867, 0.7867)  4 Cr 2.64-2.90, 3 Rh 2.66
Rh (0.3782, 0.3782, 0.3782)  3 Cr 2.55, 3 Te 2.66

energy relative to the elements, uncorrected: 21 kJ/mol of atoms
E_tot: -6.489 eV/atom
size of the total moment: 2.80 Bohr magnetons per cell
calculated density: 7071 kg/m3